# 1
The following is a DFT calculation (PBE) of an optimized crystal structure of PmPr5Pb6.

abc: 8.788 16.295 6.369
angles: 90.00 121.15 90.00
Space group C2/m (No. 12)
Unique sites:
Pm1 0.000 0.000 0.000 x2
Pr1 0.000 0.173 0.500 x4
Pr2 0.000 0.340 0.000 x4
Pr3 0.000 0.500 0.500 x2
Pb1 0.233 0.000 0.726 x4
Pb2 0.240 0.166 0.235 x8

V: 32.5 A^3/atom
E_form: -47 kJ/mol of atoms
D(E_F): 0.83 states/eV per atom
crystal system: monoclinic
total DFT energy (no corrections): -4.732 eV per atom

=====

# 2
The following is a DFT calculation (PBE) of an optimized crystal structure of CsPaSn3.

abc: 6.010 6.010 6.010
angles: 90.00 90.00 90.00
Space group Pm-3m (No. 221)
Unique sites:
Cs1 0.000 0.000 0.000 x1
Pa1 0.500 0.500 0.500 x1
Sn1 0.000 0.500 0.500 x3

V: 43.4 A^3/atom
E_form: 29 kJ/mol of atoms
D(E_F): 1.56 states/eV per atom
crystal system: cubic
total DFT energy (no corrections): -4.168 eV per atom

=====

# 3
The following is a DFT calculation (PBE) of an optimized crystal structure of ScInBr2.

abc: 4.252 4.252 11.661
angles: 90.00 90.00 90.00
Space group I-4m2 (No. 119)
Unique sites:
Sc1 0.000 0.000 0.000 x2
In1 0.000 0.500 0.250 x2
Br1 0.000 0.000 0.500 x2
Br2 0.000 0.500 0.750 x2

V: 26.4 A^3/atom
D(E_F): 0.57 states/eV per atom
crystal system: tetragonal
total DFT energy (no corrections): -3.555 eV per atom
formation energy from raw total energies: -1.80 eV/f.u.

=====

Among the records above, which one has the highest total DFT energy (no corrections)? ScInBr2

=====

The lowest D(E_F) belongs to which entry? ScInBr2